A plane-wave DFT calculation with PBE was carried out for Ho2Sc13 after structural relaxation.

a b c (Å): 6.0944 8.2825 8.3050
angles (deg): 66.12 80.96 81.48
With the nearest neighbours (Å) after each atom.
Positions (direct):
Ho: 0.0847 0.3006 0.4203  9 Sc 3.08-3.42
Ho: 0.9153 0.6994 0.5797  9 Sc 3.08-3.42
Sc: 0.0000 0.5000 0.0000  12 Sc 3.20-3.56, 2 Ho 3.29
Sc: 0.1103 0.9491 0.7482  6 Sc 2.95-3.29, 1 Ho 3.08
Sc: 0.1915 0.7159 0.1829  11 Sc 3.18-3.55, 2 Ho 3.30-3.42
Sc: 0.2889 0.1212 0.9868  7 Sc 2.94-3.28
Sc: 0.3396 0.4396 0.6578  5 Sc 2.92-3.21, 1 Ho 3.08
Sc: 0.3953 0.9022 0.3987  11 Sc 3.21-3.59, 1 Ho 3.42
Sc: 0.4846 0.6694 0.8398  5 Sc 2.95-3.25, 1 Ho 3.10
Sc: 0.5154 0.3306 0.1602  5 Sc 2.95-3.25, 1 Ho 3.10
Sc: 0.6047 0.0978 0.6013  11 Sc 3.21-3.59, 1 Ho 3.42
Sc: 0.6604 0.5604 0.3422  5 Sc 2.92-3.21, 1 Ho 3.08
Sc: 0.7111 0.8788 0.0132  7 Sc 2.94-3.28
Sc: 0.8085 0.2841 0.8171  11 Sc 3.18-3.55, 2 Ho 3.30-3.42
Sc: 0.8897 0.0509 0.2518  6 Sc 2.95-3.29, 1 Ho 3.08

Summary:
Total magnetization, μB per atom: 0.00
Formation energy, eV/atom: 0.06
Theoretical density, Mg/m³: 4.03

***

A plane-wave DFT calculation with PBE was carried out for Ho4Sc after structural relaxation.

a b c (Å): 3.4817 3.4817 14.2168
angles (deg): 96.95 96.95 60.04
With the nearest neighbours (Å) after each atom.
Positions (direct):
Ho: 0.1026 0.1026 0.3080  3 Sc 3.37, 9 Ho 3.48-3.53
Ho: 0.2989 0.2989 0.8980  12 Ho 3.48-3.53
Ho: 0.7011 0.7011 0.1020  12 Ho 3.48-3.53
Ho: 0.8974 0.8974 0.6920  3 Sc 3.37, 9 Ho 3.48-3.53
Sc: 0.5000 0.5000 0.5000  6 Ho 3.37, 6 Sc 3.48

Summary:
Total magnetization, μB per atom: 0.00
Excess energy over the best structure of this formula in the dataset, meV/atom: 0
Formation energy, eV/atom: 0.04
Theoretical density, Mg/m³: 7.91

***

A plane-wave DFT calculation with PBE was carried out for Ho7Sc after structural relaxation.

a b c (Å): 6.9792 6.9792 6.9792
angles (deg): 60.00 60.00 60.00
With the nearest neighbours (Å) after each atom.
Positions (direct):
Ho: 0.0000 0.0000 0.0000  12 Ho 3.49
Ho: 0.0000 0.0000 0.5000  10 Ho 3.49, 2 Sc 3.49
Ho: 0.0000 0.5000 0.0000  10 Ho 3.49, 2 Sc 3.49
Ho: 0.0000 0.5000 0.5000  10 Ho 3.49, 2 Sc 3.49
Ho: 0.5000 0.0000 0.0000  10 Ho 3.49, 2 Sc 3.49
Ho: 0.5000 0.0000 0.5000  10 Ho 3.49, 2 Sc 3.49
Ho: 0.5000 0.5000 0.0000  10 Ho 3.49, 2 Sc 3.49
Sc: 0.5000 0.5000 0.5000  12 Ho 3.49

Summary:
Total magnetization, μB per atom: 0.00
Formation energy, eV/atom: 0.03
Theoretical density, Mg/m³: 8.29

***

A plane-wave DFT calculation with PBE was carried out for Ho3Sc7 after structural relaxation.

a b c (Å): 10.1801 10.1801 5.9214
angles (deg): 90.00 90.00 120.00
With the nearest neighbours (Å) after each atom.
Positions (direct):
Ho: 0.2049 0.4098 0.0000  9 Sc 3.09-3.42
Ho: 0.2049 0.7951 0.0000  9 Sc 3.09-3.42
Ho: 0.4098 0.2049 0.5000  9 Sc 3.09-3.42
Ho: 0.5902 0.7951 0.0000  9 Sc 3.09-3.42
Ho: 0.7951 0.2049 0.5000  9 Sc 3.09-3.42
Ho: 0.7951 0.5902 0.5000  9 Sc 3.09-3.42
Sc: 0.0599 0.5300 0.3567  3 Sc 2.95-3.14, 4 Ho 3.15-3.17
Sc: 0.1185 0.2370 0.5169  4 Ho 3.14-3.42, 2 Sc 3.45
Sc: 0.1185 0.8815 0.5169  4 Ho 3.14-3.42, 2 Sc 3.45
Sc: 0.2370 0.1185 0.0169  4 Ho 3.14-3.42, 2 Sc 3.45
Sc: 0.3333 0.6667 0.6445  3 Sc 2.95, 3 Ho 3.09
Sc: 0.4700 0.5300 0.3567  3 Sc 2.95-3.14, 4 Ho 3.15-3.17
Sc: 0.4700 0.9401 0.3567  3 Sc 2.95-3.14, 4 Ho 3.15-3.17
Sc: 0.5300 0.0599 0.8567  3 Sc 2.95-3.14, 4 Ho 3.15-3.17
Sc: 0.5300 0.4700 0.8567  3 Sc 2.95-3.14, 4 Ho 3.15-3.17
Sc: 0.6667 0.3333 0.1445  3 Sc 2.95, 3 Ho 3.09
Sc: 0.7630 0.8815 0.5169  4 Ho 3.14-3.42, 2 Sc 3.45
Sc: 0.8815 0.1185 0.0169  4 Ho 3.14-3.42, 2 Sc 3.45
Sc: 0.8815 0.7630 0.0169  4 Ho 3.14-3.42, 2 Sc 3.45
Sc: 0.9401 0.4700 0.8567  3 Sc 2.95-3.14, 4 Ho 3.15-3.17

Summary:
Total magnetization, μB per atom: 0.00
Excess energy over the best structure of this formula in the dataset, meV/atom: 150
Formation energy, eV/atom: 0.20
Theoretical density, Mg/m³: 5.06

***

A plane-wave DFT calculation with PBE was carried out for Ho3Sc after structural relaxation.

a b c (Å): 3.5382 5.4800 6.1149
angles (deg): 90.00 90.00 90.00
With the nearest neighbours (Å) after each atom.
Positions (direct):
Ho: 0.0000 0.0000 0.0000  8 Ho 3.42-3.54, 4 Sc 3.51-3.55
Ho: 0.0000 0.5000 0.3385  4 Sc 3.41, 8 Ho 3.43-3.57
Ho: 0.5000 0.5000 0.8315  2 Sc 3.40, 10 Ho 3.42-3.57
Sc: 0.5000 0.0000 0.5036  10 Ho 3.40-3.55, 2 Sc 3.54

Summary:
Total magnetization, μB per atom: 0.00
Excess energy over the best structure of this formula in the dataset, meV/atom: 7
Formation energy, eV/atom: 0.02
Theoretical density, Mg/m³: 7.56

***

A plane-wave DFT calculation with PBE was carried out for HoSc2 after structural relaxation.

a b c (Å): 9.0094 9.0094 5.3098
angles (deg): 90.00 90.00 158.21
With the nearest neighbours (Å) after each atom.
Positions (direct):
Ho: 0.1112 0.8888 0.7500  10 Sc 3.30-3.42, 2 Ho 3.41
Ho: 0.8888 0.1112 0.2500  10 Sc 3.30-3.42, 2 Ho 3.41
Sc: 0.2217 0.7783 0.2500  4 Ho 3.30-3.41, 8 Sc 3.31-3.41
Sc: 0.4438 0.5562 0.7500  6 Ho 3.30-3.42, 6 Sc 3.32-3.41
Sc: 0.5562 0.4438 0.2500  6 Ho 3.30-3.42, 6 Sc 3.32-3.41
Sc: 0.7783 0.2217 0.7500  4 Ho 3.30-3.41, 8 Sc 3.31-3.41

Summary:
Total magnetization, μB per atom: 0.00
Excess energy over the best structure of this formula in the dataset, meV/atom: 0
Formation energy, eV/atom: 0.02
Theoretical density, Mg/m³: 5.29